This record from Alexandria describes a geometry-optimized TbSm2TmBi4 structure. The functional is PBE-GGA.

Properties
Formation energy   -0.88 eV/atom
SG   No. 10
M_tot   0.00 Bohr magnetons per cell

Lattice parameters (Å, degrees): 7.8109 4.5143 7.8139 90.00 109.48 90.00
Last column: nearest neighbours and their distance in Å.
Fractional positions:
Tb (0.0000, 0.0000, 0.0000)  6 Bi 3.17
Sm (0.5000, 0.0000, 0.5000)  6 Bi 3.21
Sm (0.5000, 0.5000, 0.0000)  6 Bi 3.23
Tm (0.0000, 0.5000, 0.5000)  6 Bi 3.15
Bi (0.2426, 0.0000, 0.7456)  2 Tm 3.15, 1 Tb 3.17, 3 Sm 3.21-3.23
Bi (0.2442, 0.5000, 0.2500)  1 Tm 3.15, 2 Tb 3.17, 3 Sm 3.21-3.23
Bi (0.7558, 0.5000, 0.7500)  1 Tm 3.15, 2 Tb 3.17, 3 Sm 3.21-3.23
Bi (0.7574, 0.0000, 0.2544)  2 Tm 3.15, 1 Tb 3.17, 3 Sm 3.21-3.23

This record from Alexandria describes a geometry-optimized TbSm2TmBi5 structure. The functional is PBE-GGA.

Properties
Formation energy   -0.04 eV/atom
SG   No. 123
M_tot   0.00 Bohr magnetons per cell

Lattice parameters (Å, degrees): 5.4510 5.4510 11.8254 90.00 90.00 90.00
Last column: nearest neighbours and their distance in Å.
Fractional positions:
Tb (0.0000, 0.0000, 0.0000)  6 Bi 2.73-3.02
Sm (0.5000, 0.5000, 0.2249)  1 Bi 3.25
Sm (0.5000, 0.5000, 0.7751)  1 Bi 3.25
Tm (0.0000, 0.0000, 0.5000)  2 Bi 2.89
Bi (0.0000, 0.0000, 0.2556)  1 Tm 2.89, 1 Tb 3.02
Bi (0.0000, 0.0000, 0.7444)  1 Tm 2.89, 1 Tb 3.02
Bi (0.0000, 0.5000, 0.0000)  2 Tb 2.73
Bi (0.5000, 0.0000, 0.0000)  2 Tb 2.73
Bi (0.5000, 0.5000, 0.5000)  2 Sm 3.25

This record from Alexandria describes a geometry-optimized TbSmTm2Bi4 structure. The functional is PBE-GGA.

Properties
Formation energy   -0.84 eV/atom
SG   No. 10
M_tot   0.00 Bohr magnetons per cell

Lattice parameters (Å, degrees): 7.7542 4.4843 7.7605 90.00 109.49 90.00
Last column: nearest neighbours and their distance in Å.
Fractional positions:
Tb (0.0000, 0.0000, 0.0000)  6 Bi 3.19
Sm (0.0000, 0.5000, 0.5000)  6 Bi 3.21
Tm (0.5000, 0.0000, 0.5000)  6 Bi 3.15
Tm (0.5000, 0.5000, 0.0000)  6 Bi 3.13
Bi (0.2560, 0.5000, 0.2500)  3 Tm 3.13-3.15, 2 Tb 3.19, 1 Sm 3.21
Bi (0.2573, 0.0000, 0.7545)  3 Tm 3.13-3.15, 1 Tb 3.19, 2 Sm 3.21
Bi (0.7427, 0.0000, 0.2455)  3 Tm 3.13-3.15, 1 Tb 3.19, 2 Sm 3.21
Bi (0.7440, 0.5000, 0.7500)  3 Tm 3.13-3.15, 2 Tb 3.19, 1 Sm 3.21

This record from Alexandria describes a geometry-optimized TbSm3Tm2Bi6 structure. The functional is PBE-GGA.

Properties
Formation energy   -0.87 eV/atom
SG   No. 12
M_tot   0.00 Bohr magnetons per cell

Lattice parameters (Å, degrees): 10.0709 10.0709 9.0093 102.82 102.82 25.86
Last column: nearest neighbours and their distance in Å.
Fractional positions:
Tb (0.0000, 0.0000, 0.0000)  6 Bi 3.17
Sm (0.0000, 0.0000, 0.5000)  6 Bi 3.20-3.22
Sm (0.3339, 0.3339, 0.1672)  6 Bi 3.21-3.22
Sm (0.6661, 0.6661, 0.8328)  6 Bi 3.21-3.22
Tm (0.3332, 0.3332, 0.6668)  6 Bi 3.15
Tm (0.6668, 0.6668, 0.3332)  6 Bi 3.15
Bi (0.1659, 0.1659, 0.0887)  2 Tm 3.15, 1 Tb 3.17, 3 Sm 3.21-3.22
Bi (0.1687, 0.1687, 0.5782)  3 Tm 3.15, 3 Sm 3.22
Bi (0.4978, 0.4978, 0.7518)  1 Tm 3.15, 2 Tb 3.17, 3 Sm 3.20-3.22
Bi (0.5022, 0.5022, 0.2482)  1 Tm 3.15, 2 Tb 3.17, 3 Sm 3.20-3.22
Bi (0.8313, 0.8313, 0.4218)  3 Tm 3.15, 3 Sm 3.22
Bi (0.8341, 0.8341, 0.9113)  2 Tm 3.15, 1 Tb 3.17, 3 Sm 3.21-3.22

This record from Alexandria describes a geometry-optimized Tb2SmTmBi5 structure. The functional is PBE-GGA.

Properties
Formation energy   0.09 eV/atom
SG   No. 123
M_tot   0.00 Bohr magnetons per cell

Lattice parameters (Å, degrees): 5.5102 5.5102 11.8182 90.00 90.00 90.00
Last column: nearest neighbours and their distance in Å.
Fractional positions:
Tb (0.0000, 0.0000, 0.2277)  1 Bi 3.22
Tb (0.0000, 0.0000, 0.7723)  1 Bi 3.22
Sm (0.5000, 0.5000, 0.0000)  6 Bi 2.76-3.04
Tm (0.5000, 0.5000, 0.5000)  2 Bi 2.87
Bi (0.0000, 0.0000, 0.5000)  2 Tb 3.22
Bi (0.0000, 0.5000, 0.0000)  2 Sm 2.76
Bi (0.5000, 0.0000, 0.0000)  2 Sm 2.76
Bi (0.5000, 0.5000, 0.2571)  1 Tm 2.87, 1 Sm 3.04
Bi (0.5000, 0.5000, 0.7429)  1 Tm 2.87, 1 Sm 3.04

This record from Alexandria describes a geometry-optimized Tb2Sm3YBi6 structure. The functional is PBE-GGA.

Properties
Formation energy   -0.91 eV/atom
SG   No. 12
M_tot   0.00 Bohr magnetons per cell

Lattice parameters (Å, degrees): 10.1143 10.1143 9.0481 102.84 102.84 25.86
Last column: nearest neighbours and their distance in Å.
Fractional positions:
Tb (0.1665, 0.1665, 0.3332)  6 Bi 3.18
Tb (0.8335, 0.8335, 0.6668)  6 Bi 3.18
Sm (0.1668, 0.1668, 0.8334)  6 Bi 3.22
Sm (0.5000, 0.5000, 0.5000)  6 Bi 3.22
Sm (0.8332, 0.8332, 0.1666)  6 Bi 3.22
Y (0.5000, 0.5000, 0.0000)  6 Bi 3.18
Bi (0.0009, 0.0009, 0.2472)  2 Y 3.18, 1 Tb 3.18, 3 Sm 3.22
Bi (0.3323, 0.3323, 0.4191)  3 Tb 3.18, 3 Sm 3.22
Bi (0.3345, 0.3345, 0.9143)  1 Y 3.18, 2 Tb 3.18, 3 Sm 3.22
Bi (0.6655, 0.6655, 0.0857)  1 Y 3.18, 2 Tb 3.18, 3 Sm 3.22
Bi (0.6677, 0.6677, 0.5809)  3 Tb 3.18, 3 Sm 3.22
Bi (0.9991, 0.9991, 0.7528)  2 Y 3.18, 1 Tb 3.18, 3 Sm 3.22

This record from Alexandria describes a geometry-optimized Tb3Sm2YBi6 structure. The functional is PBE-GGA.

Properties
Formation energy   -0.90 eV/atom
SG   No. 12
M_tot   0.00 Bohr magnetons per cell

Lattice parameters (Å, degrees): 10.0902 10.0902 9.0262 102.86 102.86 25.85
Last column: nearest neighbours and their distance in Å.
Fractional positions:
Tb (0.0000, 0.0000, 0.0000)  6 Bi 3.17-3.19
Tb (0.3327, 0.3327, 0.6665)  6 Bi 3.17-3.19
Tb (0.6673, 0.6673, 0.3335)  6 Bi 3.17-3.19
Sm (0.3337, 0.3337, 0.1673)  6 Bi 3.21-3.22
Sm (0.6663, 0.6663, 0.8327)  6 Bi 3.21-3.22
Y (0.0000, 0.0000, 0.5000)  6 Bi 3.18-3.19
Bi (0.1658, 0.1658, 0.0855)  3 Tb 3.17, 3 Sm 3.21-3.22
Bi (0.1663, 0.1663, 0.5798)  3 Tb 3.17-3.19, 1 Y 3.18, 2 Sm 3.21
Bi (0.4986, 0.4986, 0.7490)  3 Tb 3.18-3.19, 2 Y 3.19, 1 Sm 3.21
Bi (0.5014, 0.5014, 0.2510)  3 Tb 3.18-3.19, 2 Y 3.19, 1 Sm 3.21
Bi (0.8337, 0.8337, 0.4202)  3 Tb 3.17-3.19, 1 Y 3.18, 2 Sm 3.21
Bi (0.8342, 0.8342, 0.9145)  3 Tb 3.17, 3 Sm 3.21-3.22

This record from Alexandria describes a geometry-optimized SmTcBi structure. The functional is PBE-GGA.

Properties
Formation energy   0.18 eV/atom
SG   No. 129
M_tot   0.00 Bohr magnetons per cell

Lattice parameters (Å, degrees): 3.2631 3.2631 13.7185 90.00 90.00 90.00
Last column: nearest neighbours and their distance in Å.
Fractional positions:
Sm (0.2500, 0.2500, 0.1019)  8 Sm 3.26-3.63, 4 Bi 3.61
Sm (0.7500, 0.7500, 0.8981)  8 Sm 3.26-3.63, 4 Bi 3.61
Tc (0.2500, 0.2500, 0.4506)  4 Tc 2.68
Tc (0.7500, 0.7500, 0.5494)  4 Tc 2.68
Bi (0.2500, 0.2500, 0.6960)  5 Tc 3.06-3.37, 4 Bi 3.26
Bi (0.7500, 0.7500, 0.3040)  5 Tc 3.06-3.37, 4 Bi 3.26

This record from Alexandria describes a geometry-optimized Sm8TcBi2 structure. The functional is PBE-GGA.

Properties
Formation energy   -0.27 eV/atom
SG   No. 12
M_tot   0.00 Bohr magnetons per cell

Lattice parameters (Å, degrees): 10.0747 10.0747 7.3124 99.10 99.10 27.75
Last column: nearest neighbours and their distance in Å.
Fractional positions:
Sm (0.0051, 0.0051, 0.2764)  2 Tc 2.93
Sm (0.2158, 0.2158, 0.8445)  3 Bi 3.33-3.35, 5 Sm 3.44-3.72
Sm (0.3608, 0.3608, 0.4676)  1 Tc 2.69
Sm (0.4070, 0.4070, 0.9932)  2 Bi 3.41, 10 Sm 3.54-3.80
Sm (0.5930, 0.5930, 0.0068)  2 Bi 3.41, 10 Sm 3.54-3.80
Sm (0.6392, 0.6392, 0.5324)  1 Tc 2.69
Sm (0.7842, 0.7842, 0.1555)  3 Bi 3.33-3.35, 5 Sm 3.44-3.72
Sm (0.9949, 0.9949, 0.7236)  2 Tc 2.93
Tc (0.5000, 0.5000, 0.5000)  6 Sm 2.69-2.93
Bi (0.1817, 0.1817, 0.2762)  9 Sm 3.25-3.55
Bi (0.8183, 0.8183, 0.7238)  9 Sm 3.25-3.55

This record from Alexandria describes a geometry-optimized Sm8Tc2Bi structure. The functional is PBE-GGA.

Properties
Formation energy   -0.11 eV/atom
SG   No. 12
M_tot   0.00 Bohr magnetons per cell

Lattice parameters (Å, degrees): 8.4642 8.4642 6.3995 93.83 93.83 46.55
Last column: nearest neighbours and their distance in Å.
Fractional positions:
Sm (0.0781, 0.0781, 0.3450)  1 Tc 2.64
Sm (0.1297, 0.6228, 0.1174)  2 Tc 2.88-2.91
Sm (0.2941, 0.2941, 0.6248)  1 Tc 3.00, 1 Bi 3.36
Sm (0.3772, 0.8703, 0.8826)  2 Tc 2.88-2.91
Sm (0.6228, 0.1297, 0.1174)  2 Tc 2.88-2.91
Sm (0.7059, 0.7059, 0.3752)  1 Tc 3.00, 1 Bi 3.36
Sm (0.8703, 0.3772, 0.8826)  2 Tc 2.88-2.91
Sm (0.9219, 0.9219, 0.6550)  1 Tc 2.64
Tc (0.2274, 0.2274, 0.1726)  5 Sm 2.64-2.91
Tc (0.7726, 0.7726, 0.8274)  5 Sm 2.64-2.91
Bi (0.5000, 0.5000, 0.5000)  10 Sm 3.36-3.72

This record from Alexandria describes a geometry-optimized Sm4TcBi structure. The functional is PBE-GGA.

Properties
Formation energy   -0.34 eV/atom
SG   No. 15
M_tot   0.00 Bohr magnetons per cell

Lattice parameters (Å, degrees): 8.2425 8.2425 6.3535 102.01 102.01 113.47
Last column: nearest neighbours and their distance in Å.
Fractional positions:
Sm (0.0588, 0.7234, 0.9381)  2 Tc 2.95
Sm (0.2056, 0.3475, 0.6440)  2 Tc 2.96-2.99, 1 Bi 3.31
Sm (0.2766, 0.9412, 0.5619)  2 Tc 2.95
Sm (0.3475, 0.2056, 0.1440)  2 Tc 2.96-2.99, 1 Bi 3.31
Sm (0.6525, 0.7944, 0.8560)  2 Tc 2.96-2.99, 1 Bi 3.31
Sm (0.7234, 0.0588, 0.4381)  2 Tc 2.95
Sm (0.7944, 0.6525, 0.3560)  2 Tc 2.96-2.99, 1 Bi 3.31
Sm (0.9412, 0.2766, 0.0619)  2 Tc 2.95
Tc (0.0010, 0.9990, 0.2500)  8 Sm 2.95-2.99, 2 Tc 3.18
Tc (0.9990, 0.0010, 0.7500)  8 Sm 2.95-2.99, 2 Tc 3.18
Bi (0.3729, 0.6271, 0.2500)  8 Sm 3.31-3.69
Bi (0.6271, 0.3729, 0.7500)  8 Sm 3.31-3.69

This record from Alexandria describes a geometry-optimized Sm12TcBi6 structure. The functional is PBE-GGA.

Properties
Formation energy   -0.44 eV/atom
SG   No. 148
M_tot   0.00 Bohr magnetons per cell

Lattice parameters (Å, degrees): 8.8323 8.8323 8.8323 99.34 99.34 99.34
Last column: nearest neighbours and their distance in Å.
Fractional positions:
Sm (0.0034, 0.6877, 0.9451)  1 Tc 2.73
Sm (0.0549, 0.9966, 0.3123)  1 Tc 2.73
Sm (0.1990, 0.4172, 0.5470)  4 Bi 3.19-3.39
Sm (0.3123, 0.0549, 0.9966)  1 Tc 2.73
Sm (0.4172, 0.5470, 0.1990)  4 Bi 3.19-3.39
Sm (0.4530, 0.8010, 0.5828)  4 Bi 3.19-3.39
Sm (0.5470, 0.1990, 0.4172)  4 Bi 3.19-3.39
Sm (0.5828, 0.4530, 0.8010)  4 Bi 3.19-3.39
Sm (0.6877, 0.9451, 0.0034)  1 Tc 2.73
Sm (0.8010, 0.5828, 0.4530)  4 Bi 3.19-3.39
Sm (0.9451, 0.0034, 0.6877)  1 Tc 2.73
Sm (0.9966, 0.3123, 0.0549)  1 Tc 2.73
Tc (0.0000, 0.0000, 0.0000)  6 Sm 2.73
Bi (0.1189, 0.6502, 0.3162)  7 Sm 3.19-3.39
Bi (0.3162, 0.1189, 0.6502)  7 Sm 3.19-3.39
Bi (0.3498, 0.6838, 0.8811)  7 Sm 3.19-3.39
Bi (0.6502, 0.3162, 0.1189)  7 Sm 3.19-3.39
Bi (0.6838, 0.8811, 0.3498)  7 Sm 3.19-3.39
Bi (0.8811, 0.3498, 0.6838)  7 Sm 3.19-3.39